[1]
# Sm2MgIr (PBE, optimized geometry)
# * calculated formation energy: -323.3 meV/atom
# * DFT total energy: -5.297 eV/atom
# * ρ: 7.1 g/cm3
# * V: 30.08 A^3/atom
data_Sm2MgIr
_space_group_name_H-M_alt 'R -3 m'
_space_group_IT_number 166
_space_group_name_Hall '-R 3 2"'
_cell_length_a 4.0564
_cell_length_b 4.0564
_cell_length_c 25.3292
_cell_angle_alpha 90.00
_cell_angle_beta 90.00
_cell_angle_gamma 120.00
loop_
_atom_site_label
_atom_site_fract_x
_atom_site_fract_y
_atom_site_fract_z
Sm1 0.0000 0.0000 0.2281
Mg1 0.0000 0.0000 0.0000
Ir1 0.0000 0.0000 0.5000

[2]
# Sm3MgIr8 (PBE, optimized geometry)
# * calculated formation energy: -620.5 meV/atom
# * DFT total energy: -7.841 eV/atom
# * ρ: 15.3 g/cm3
# * V: 18.24 A^3/atom
data_Sm3MgIr8
_space_group_name_H-M_alt 'R 3 m'
_space_group_IT_number 160
_space_group_name_Hall 'R 3 -2"'
_cell_length_a 5.3677
_cell_length_b 5.3677
_cell_length_c 26.3160
_cell_angle_alpha 90.00
_cell_angle_beta 90.00
_cell_angle_gamma 120.00
loop_
_atom_site_label
_atom_site_fract_x
_atom_site_fract_y
_atom_site_fract_z
Sm1 0.0000 0.0000 0.0000
Sm2 0.0000 0.0000 0.1271
Sm3 0.0000 0.0000 0.6209
Mg1 0.0000 0.0000 0.4977
Ir1 0.0000 0.0000 0.3120
Ir2 0.0000 0.0000 0.8122
Ir3 0.9999 0.5000 0.5611
Ir4 0.0011 0.5006 0.0629

[3]
# Sm12Mg3Ir5 (PBE, optimized geometry)
# * calculated formation energy: -42.5 meV/atom
# * DFT total energy: -5.328 eV/atom
# * ρ: 7.0 g/cm3
# * V: 33.89 A^3/atom
data_Sm12Mg3Ir5
_space_group_name_H-M_alt 'I a -3 d'
_space_group_IT_number 230
_space_group_name_Hall '-I 4bd 2c 3'
_cell_length_a 17.568
_cell_length_b 17.568
_cell_length_c 17.568
_cell_angle_alpha 90.00
_cell_angle_beta 90.00
_cell_angle_gamma 90.00
loop_
_atom_site_label
_atom_site_fract_x
_atom_site_fract_y
_atom_site_fract_z
Sm1 0.030 0.058 0.646
Mg1 0.000 0.250 0.125
Ir1 0.000 0.000 0.000
Ir2 0.000 0.250 0.375

[4]
# Sm4MgIr (PBE, optimized geometry)
# * calculated formation energy: 23.3 meV/atom
# * DFT total energy: -4.865 eV/atom
# * ρ: 6.3 g/cm3
# * V: 35.76 A^3/atom
data_Sm4MgIr
_space_group_name_H-M_alt 'I 41 m d'
_space_group_IT_number 109
_space_group_name_Hall 'I 4bw -2'
_cell_length_a 9.522
_cell_length_b 9.522
_cell_length_c 9.465
_cell_angle_alpha 90.00
_cell_angle_beta 90.00
_cell_angle_gamma 90.00
loop_
_atom_site_label
_atom_site_fract_x
_atom_site_fract_y
_atom_site_fract_z
Sm1 0.000 0.184 0.000
Sm2 0.000 0.202 0.439
Mg1 0.000 0.000 0.714
Ir1 0.000 0.000 0.221

[5]
# Sm3Mg7Ir4 (PBE, optimized geometry)
# * calculated formation energy: -448.6 meV/atom
# * DFT total energy: -4.789 eV/atom
# * ρ: 7.8 g/cm3
# * V: 21.10 A^3/atom
data_Sm3Mg7Ir4
_space_group_name_H-M_alt 'C 1 2/m 1'
_space_group_IT_number 12
_cell_length_a 16.186
_cell_length_b 4.215
_cell_length_c 10.521
_cell_angle_alpha 90.00
_cell_angle_beta 124.58
_cell_angle_gamma 90.00
loop_
_space_group_symop_operation_xyz
'x,y,z'
'-x,-y,-z'
'-x,y,-z'
'x,-y,z'
'x+1/2,y+1/2,z'
'-x+1/2,-y+1/2,-z'
'-x+1/2,y+1/2,-z'
'x+1/2,-y+1/2,z'
loop_
_atom_site_label
_atom_site_fract_x
_atom_site_fract_y
_atom_site_fract_z
Sm1 0.000 0.000 0.000
Sm2 0.200 0.500 0.720
Mg1 0.000 0.000 0.500
Mg2 0.013 0.500 0.288
Mg3 0.171 0.000 0.430
Mg4 0.180 0.500 0.011
Ir1 0.109 0.000 0.809
Ir2 0.163 0.500 0.257

[6]
# SmMg3Ir2 (PBE, optimized geometry)
# * calculated formation energy: -384.8 meV/atom
# * DFT total energy: -4.922 eV/atom
# * ρ: 8.2 g/cm3
# * V: 20.54 A^3/atom
data_SmMg3Ir2
_space_group_name_H-M_alt 'C 1 2/m 1'
_space_group_IT_number 12
_cell_length_a 16.209
_cell_length_b 4.083
_cell_length_c 8.918
_cell_angle_alpha 90.00
_cell_angle_beta 123.37
_cell_angle_gamma 90.00
loop_
_space_group_symop_operation_xyz
'x,y,z'
'-x,-y,-z'
'-x,y,-z'
'x,-y,z'
'x+1/2,y+1/2,z'
'-x+1/2,-y+1/2,-z'
'-x+1/2,y+1/2,-z'
'x+1/2,-y+1/2,z'
loop_
_atom_site_label
_atom_site_fract_x
_atom_site_fract_y
_atom_site_fract_z
Sm1 0.136 0.000 0.136
Mg1 0.000 0.000 0.340
Mg2 0.166 0.500 0.471
Mg3 0.166 0.500 0.862
Ir1 0.000 0.500 0.143
Ir2 0.200 0.000 0.700

[7]
# Sm2MgIr (PBE, optimized geometry)
# * calculated formation energy: -461.3 meV/atom
# * DFT total energy: -5.435 eV/atom
# * ρ: 7.8 g/cm3
# * V: 27.68 A^3/atom
data_Sm2MgIr
_space_group_name_H-M_alt 'C m c m'
_space_group_IT_number 63
_space_group_name_Hall '-C 2c 2'
_cell_length_a 4.093
_cell_length_b 14.564
_cell_length_c 7.430
_cell_angle_alpha 90.00
_cell_angle_beta 90.00
_cell_angle_gamma 90.00
loop_
_atom_site_label
_atom_site_fract_x
_atom_site_fract_y
_atom_site_fract_z
Sm1 0.000 0.145 0.004
Mg1 0.000 0.491 0.750
Ir1 0.000 0.302 0.750

[8]
# Sm3Mg2Ir3 (PBE, optimized geometry)
# * calculated formation energy: -570.7 meV/atom
# * DFT total energy: -6.062 eV/atom
# * ρ: 10.1 g/cm3
# * V: 22.07 A^3/atom
data_Sm3Mg2Ir3
_space_group_name_H-M_alt 'P 63/m c m'
_space_group_IT_number 193
_space_group_name_Hall '-P 6c 2'
_cell_length_a 8.3462
_cell_length_b 8.3462
_cell_length_c 5.8532
_cell_angle_alpha 90.00
_cell_angle_beta 90.00
_cell_angle_gamma 120.00
loop_
_atom_site_label
_atom_site_fract_x
_atom_site_fract_y
_atom_site_fract_z
Sm1 0.0000 0.2741 0.2500
Mg1 0.3333 0.6667 0.0000
Ir1 0.0000 0.3892 0.7500

[9]
# Sm2MgIr (PBE, optimized geometry)
# * calculated formation energy: -403.8 meV/atom
# * DFT total energy: -5.377 eV/atom
# * ρ: 8.5 g/cm3
# * V: 25.32 A^3/atom
data_Sm2MgIr
_space_group_name_H-M_alt 'P 4/m m m'
_space_group_IT_number 123
_space_group_name_Hall '-P 4 2'
_cell_length_a 3.620
_cell_length_b 3.620
_cell_length_c 7.731
_cell_angle_alpha 90.00
_cell_angle_beta 90.00
_cell_angle_gamma 90.00
loop_
_atom_site_label
_atom_site_fract_x
_atom_site_fract_y
_atom_site_fract_z
Sm1 0.000 0.000 0.211
Mg1 0.500 0.500 0.500
Ir1 0.500 0.500 0.000

[10]
# Sm2MgIr2 (PBE, optimized geometry)
# * calculated formation energy: -658.6 meV/atom
# * DFT total energy: -6.410 eV/atom
# * ρ: 10.5 g/cm3
# * V: 22.35 A^3/atom
data_Sm2MgIr2
_space_group_name_H-M_alt 'C 1 2/c 1'
_space_group_IT_number 15
_cell_length_a 10.283
_cell_length_b 5.558
_cell_length_c 8.203
_cell_angle_alpha 90.00
_cell_angle_beta 107.52
_cell_angle_gamma 90.00
loop_
_space_group_symop_operation_xyz
'x,y,z'
'-x,-y,-z'
'-x,y,-z+1/2'
'x,-y,z+1/2'
'x+1/2,y+1/2,z'
'-x+1/2,-y+1/2,-z'
'-x+1/2,y+1/2,-z+1/2'
'x+1/2,-y+1/2,z+1/2'
loop_
_atom_site_label
_atom_site_fract_x
_atom_site_fract_y
_atom_site_fract_z
Sm1 0.146 0.152 0.147
Mg1 0.000 0.370 0.750
Ir1 0.140 0.348 0.516

[11]
# Sm2MgIr (PBE, optimized geometry)
# * calculated formation energy: -355.4 meV/atom
# * DFT total energy: -5.329 eV/atom
# * ρ: 9.0 g/cm3
# * V: 23.89 A^3/atom
data_Sm2MgIr
_space_group_name_H-M_alt 'F m -3 m'
_space_group_IT_number 225
_space_group_name_Hall '-F 4 2 3'
_cell_length_a 7.257
_cell_length_b 7.257
_cell_length_c 7.257
_cell_angle_alpha 90.00
_cell_angle_beta 90.00
_cell_angle_gamma 90.00
loop_
_atom_site_label
_atom_site_fract_x
_atom_site_fract_y
_atom_site_fract_z
Sm1 0.250 0.250 0.250
Mg1 0.000 0.000 0.000
Ir1 0.000 0.000 0.500

[12]
# SmMg3Ir (PBE, optimized geometry)
# * calculated formation energy: -347.5 meV/atom
# * DFT total energy: -4.020 eV/atom
# * ρ: 6.1 g/cm3
# * V: 22.74 A^3/atom
data_SmMg3Ir
_space_group_name_H-M_alt 'P 1 21/m 1'
_space_group_IT_number 11
_cell_length_a 5.519
_cell_length_b 5.878
_cell_length_c 7.369
_cell_angle_alpha 90.00
_cell_angle_beta 108.00
_cell_angle_gamma 90.00
loop_
_space_group_symop_operation_xyz
'x,y,z'
'-x,-y,-z'
'-x,y+1/2,-z'
'x,-y+1/2,z'
loop_
_atom_site_label
_atom_site_fract_x
_atom_site_fract_y
_atom_site_fract_z
Sm1 0.106 0.250 0.403
Mg1 0.028 0.250 0.887
Mg2 0.496 0.000 0.207
Ir1 0.326 0.750 0.465

[13]
# Sm6MgIr (PBE, optimized geometry)
# * calculated formation energy: -28.5 meV/atom
# * DFT total energy: -4.875 eV/atom
# * ρ: 7.2 g/cm3
# * V: 32.45 A^3/atom
data_Sm6MgIr
_space_group_name_H-M_alt 'C 1 2/m 1'
_space_group_IT_number 12
_cell_length_a 7.444
_cell_length_b 11.624
_cell_length_c 6.603
_cell_angle_alpha 90.00
_cell_angle_beta 114.67
_cell_angle_gamma 90.00
loop_
_space_group_symop_operation_xyz
'x,y,z'
'-x,-y,-z'
'-x,y,-z'
'x,-y,z'
'x+1/2,y+1/2,z'
'-x+1/2,-y+1/2,-z'
'-x+1/2,y+1/2,-z'
'x+1/2,-y+1/2,z'
loop_
_atom_site_label
_atom_site_fract_x
_atom_site_fract_y
_atom_site_fract_z
Sm1 0.199 0.198 0.246
Sm2 0.230 0.000 0.779
Mg1 0.000 0.500 0.500
Ir1 0.000 0.000 0.000

[14]
# SmMg11Ir (PBE, optimized geometry)
# * calculated formation energy: -124.0 meV/atom
# * DFT total energy: -2.518 eV/atom
# * ρ: 3.5 g/cm3
# * V: 22.23 A^3/atom
data_SmMg11Ir
_space_group_name_H-M_alt 'C 1 2/m 1'
_space_group_IT_number 12
_cell_length_a 5.650
_cell_length_b 14.330
_cell_length_c 7.658
_cell_angle_alpha 90.00
_cell_angle_beta 111.21
_cell_angle_gamma 90.00
loop_
_space_group_symop_operation_xyz
'x,y,z'
'-x,-y,-z'
'-x,y,-z'
'x,-y,z'
'x+1/2,y+1/2,z'
'-x+1/2,-y+1/2,-z'
'-x+1/2,y+1/2,-z'
'x+1/2,-y+1/2,z'
loop_
_atom_site_label
_atom_site_fract_x
_atom_site_fract_y
_atom_site_fract_z
Sm1 0.000 0.000 0.000
Mg1 0.000 0.000 0.500
Mg2 0.095 0.399 0.221
Mg3 0.199 0.165 0.363
Mg4 0.250 0.250 0.000
Ir1 0.000 0.500 0.500

[15]
# Sm4MgIr (PBE, optimized geometry)
# * calculated formation energy: -385.7 meV/atom
# * DFT total energy: -5.274 eV/atom
# * ρ: 7.9 g/cm3
# * V: 28.64 A^3/atom
data_Sm4MgIr
_space_group_name_H-M_alt 'F -4 3 m'
_space_group_IT_number 216
_space_group_name_Hall 'F -4 2 3'
_cell_length_a 14.009
_cell_length_b 14.009
_cell_length_c 14.009
_cell_angle_alpha 90.00
_cell_angle_beta 90.00
_cell_angle_gamma 90.00
loop_
_atom_site_label
_atom_site_fract_x
_atom_site_fract_y
_atom_site_fract_z
Sm1 0.000 0.000 0.188
Sm2 0.062 0.250 0.250
Sm3 0.097 0.097 0.597
Mg1 0.171 0.171 0.829
Ir1 0.108 0.108 0.392

[16]
# Sm2MgSn3Ir4 (PBE, optimized geometry)
# * calculated formation energy: -532.5 meV/atom
# * DFT total energy: -6.381 eV/atom
# * ρ: 11.3 g/cm3
# * V: 21.26 A^3/atom
data_Sm2MgSn3Ir4
_space_group_name_H-M_alt 'P -4 m 2'
_space_group_IT_number 115
_cell_length_a 4.300
_cell_length_b 4.300
_cell_length_c 11.498
_cell_angle_alpha 90.00
_cell_angle_beta 90.00
_cell_angle_gamma 90.00
loop_
_space_group_symop_operation_xyz
'x,y,z'
'y,-x,-z'
'-x,-y,z'
'-y,x,-z'
'-x,y,z'
'-y,-x,-z'
'x,-y,z'
'y,x,-z'
loop_
_atom_site_label
_atom_site_fract_x
_atom_site_fract_y
_atom_site_fract_z
Sm1 0.000 0.500 0.246
Mg1 0.000 0.000 0.500
Sn1 0.000 0.500 0.869
Sn2 0.500 0.500 0.500
Ir1 0.000 0.000 0.000
Ir2 0.000 0.500 0.642
Ir3 0.500 0.500 0.000

[17]
# Sm2MgTa2Ir5 (PBE, optimized geometry)
# * calculated formation energy: -341.9 meV/atom
# * DFT total energy: -8.246 eV/atom
# * ρ: 14.2 g/cm3
# * V: 19.30 A^3/atom
data_Sm2MgTa2Ir5
_space_group_name_H-M_alt 'P 4/m b m'
_space_group_IT_number 127
_space_group_name_Hall '-P 4 2ab'
_cell_length_a 10.069
_cell_length_b 10.069
_cell_length_c 3.807
_cell_angle_alpha 90.00
_cell_angle_beta 90.00
_cell_angle_gamma 90.00
loop_
_atom_site_label
_atom_site_fract_x
_atom_site_fract_y
_atom_site_fract_z
Sm1 0.177 0.323 0.000
Mg1 0.000 0.000 0.000
Ta1 0.124 0.624 0.000
Ir1 0.000 0.500 0.500
Ir2 0.063 0.793 0.500

[18]
# SmMgTlIr (PBE, optimized geometry)
# * calculated formation energy: -254.5 meV/atom
# * DFT total energy: -4.640 eV/atom
# * ρ: 10.9 g/cm3
# * V: 21.85 A^3/atom
data_SmMgTlIr
_space_group_name_H-M_alt 'F -4 3 m'
_space_group_IT_number 216
_space_group_name_Hall 'F -4 2 3'
_cell_length_a 7.045
_cell_length_b 7.045
_cell_length_c 7.045
_cell_angle_alpha 90.00
_cell_angle_beta 90.00
_cell_angle_gamma 90.00
loop_
_atom_site_label
_atom_site_fract_x
_atom_site_fract_y
_atom_site_fract_z
Sm1 0.000 0.000 0.000
Mg1 0.000 0.000 0.500
Tl1 0.250 0.250 0.250
Ir1 0.250 0.250 0.750